No. 1
Entry from Alexandria: Tb3U2Os4 after structural relaxation (PBE).

## Properties
Volume (Å³/cell): 405
Energy (eV/atom): -9.24
Total magnetization (μB/atom): 0.12
Density (kg/m3): 14062

a = 10.8613 Å, b = 4.3128 Å, c = 8.8160 Å
α = 90.00°, β = 101.45°, γ = 90.00°
Space group C2/m (No. 12)
One atom of each set of equivalent atoms:
Tb 0.0000 0.0000 0.0000 x2
Tb 0.1266 0.5000 0.3841 x4
U 0.1736 0.5000 0.7763 x4
Os 0.0831 0.0000 0.6309 x4
Os 0.2188 0.5000 0.0920 x4


No. 2
Entry from Alexandria: In2TcW after structural relaxation (PBE).

## Properties
Volume (Å³/cell): 146
Energy (eV/atom): -6.54
Energy relative to the lowest polymorph listed for this composition (meV per atom): 489
Total magnetization (μB/atom): 0.37
Density (kg/m3): 11664

a = 5.7237 Å, b = 8.7286 Å, c = 2.9151 Å
α = 90.00°, β = 90.00°, γ = 90.00°
Space group Cmmm (No. 65)
One atom of each set of equivalent atoms:
In 0.2500 0.2500 0.0000 x4
Tc 0.0000 0.0000 0.5000 x2
W 0.0000 0.5000 0.5000 x2


No. 3
Entry from Alexandria: BaCaSe3 after structural relaxation (PBE).

## Properties
Volume (Å³/cell): 166
Energy (eV/atom): -4.03
Energy relative to the lowest polymorph listed for this composition (meV per atom): 0
Total magnetization (μB/atom): 0.25
ΔE_f (raw) (eV per atom): -1.15
Density (kg/m3): 4154

a = 5.4916 Å, b = 5.4916 Å, c = 5.4916 Å
α = 90.00°, β = 90.00°, γ = 90.00°
Space group Pm-3m (No. 221)
One atom of each set of equivalent atoms:
Ba 0.0000 0.0000 0.0000 x1
Ca 0.5000 0.5000 0.5000 x1
Se 0.0000 0.5000 0.5000 x3


No. 4
Entry from Alexandria: SrTlCuAgRh after structural relaxation (PBE).

## Properties
Volume (Å³/cell): 219
Energy (eV/atom): -3.71
Energy relative to the lowest polymorph listed for this composition (meV per atom): 59
Total magnetization (μB/atom): 0.00
Density (kg/m3): 8582

a = 10.4663 Å, b = 4.1225 Å, c = 5.9568 Å
α = 90.00°, β = 121.50°, γ = 90.00°
Space group Cm (No. 8)
One atom of each set of equivalent atoms:
Sr 0.0000 0.0000 0.0000 x2
Tl 0.3325 0.5000 0.3391 x2
Cu 0.2739 0.0000 0.5724 x2
Ag 0.1063 0.5000 0.6060 x2
Rh 0.2832 0.0000 0.0055 x2


No. 5
Entry from Alexandria: TbDy2Te after structural relaxation (PBE).

## Properties
Volume (Å³/cell): 471
Energy (eV/atom): -4.90
Energy relative to the lowest polymorph listed for this composition (meV per atom): 0
Total magnetization (μB/atom): 0.00
ΔE_f (raw) (eV per atom): -0.65
Density (kg/m3): 8626

a = 3.9472 Å, b = 12.0991 Å, c = 9.8605 Å
α = 90.00°, β = 90.00°, γ = 90.00°
Space group Cmcm (No. 63)
One atom of each set of equivalent atoms:
Tb 0.0000 0.0569 0.2500 x4
Dy 0.0000 0.3649 0.0367 x8
Te 0.0000 0.2344 0.7500 x4


No. 6
Entry from Alexandria: Er7SnGe5 after structural relaxation (PBE).

## Properties
Volume (Å³/cell): 626
Energy (eV/atom): -5.08
Total magnetization (μB/atom): 0.00
Density (kg/m3): 8768

a = 5.8253 Å, b = 10.8550 Å, c = 9.9002 Å
α = 90.00°, β = 90.00°, γ = 90.00°
Space group Imm2 (No. 44)
One atom of each set of equivalent atoms:
Er 0.0000 0.0000 0.0000 x2
Er 0.0000 0.0000 0.3762 x2
Er 0.0000 0.3304 0.7493 x4
Er 0.0000 0.3356 0.2867 x4
Er 0.0000 0.5000 0.0272 x2
Sn 0.0000 0.0000 0.6917 x2
Ge 0.0000 0.5000 0.5216 x2
Ge 0.2332 0.2591 0.0140 x8


No. 7
Entry from Alexandria: NaScGeW2 after structural relaxation (PBE).

## Properties
Volume (Å³/cell): 100
Energy (eV/atom): -5.46
Energy relative to the lowest polymorph listed for this composition (meV per atom): 30
Total magnetization (μB/atom): 0.00
Density (kg/m3): 8471

a = 4.6249 Å, b = 4.6249 Å, c = 4.6579 Å
α = 90.00°, β = 90.00°, γ = 90.00°
Space group P4/mmm (No. 123)
One atom of each set of equivalent atoms:
Na 0.0000 0.0000 0.0000 x1
Sc 0.5000 0.5000 0.5000 x1
Ge 0.0000 0.0000 0.5000 x1
W 0.0000 0.5000 0.0000 x2


No. 8
Entry from Alexandria: BaSr2Sb after structural relaxation (PBE).

## Properties
Volume (Å³/cell): 670
Energy (eV/atom): -2.84
Total magnetization (μB/atom): 0.19
ΔE_f (raw) (eV per atom): -0.49
Density (kg/m3): 3228

a = 4.7940 Å, b = 4.7940 Å, c = 33.6782 Å
α = 90.00°, β = 90.00°, γ = 120.00°
Space group R-3m (No. 166, hexagonal axes)
One atom of each set of equivalent atoms:
Ba 0.0000 0.0000 0.0000 x3
Sr 0.0000 0.0000 0.2177 x6
Sb 0.0000 0.0000 0.5000 x3


No. 9
Entry from Alexandria: NdDy2Au2 after structural relaxation (PBE).

## Properties
Volume (Å³/cell): 260
Energy (eV/atom): -4.79
Energy relative to the lowest polymorph listed for this composition (meV per atom): 0
Total magnetization (μB/atom): 0.00
Density (kg/m3): 11007

a = 8.2736 Å, b = 8.2736 Å, c = 3.8045 Å
α = 90.00°, β = 90.00°, γ = 90.00°
Space group P4/mbm (No. 127)
One atom of each set of equivalent atoms:
Nd 0.0000 0.0000 0.0000 x2
Dy 0.1618 0.3382 0.5000 x4
Au 0.1303 0.6303 0.0000 x4


No. 10
Entry from Alexandria: NbTcOs2 after structural relaxation (PBE).

## Properties
Volume (Å³/cell): 269
Energy (eV/atom): -10.01
Energy relative to the lowest polymorph listed for this composition (meV per atom): 758
Total magnetization (μB/atom): 0.00
Density (kg/m3): 14096

a = 3.8654 Å, b = 3.8654 Å, c = 18.0192 Å
α = 90.00°, β = 90.00°, γ = 90.00°
Space group I-42d (No. 122)
One atom of each set of equivalent atoms:
Nb 0.0000 0.0000 0.0000 x4
Tc 0.0000 0.0000 0.5000 x4
Os 0.2278 0.2500 0.6250 x8


No. 11
Entry from Alexandria: ZrNi after structural relaxation (PBE).

## Properties
Volume (Å³/cell): 347
Energy (eV/atom): -6.29
Total magnetization (μB/atom): 0.00
Density (kg/m3): 4299

a = 7.0300 Å, b = 7.0300 Å, c = 7.0300 Å
α = 90.00°, β = 90.00°, γ = 90.00°
Space group Pm-3n (No. 223)
One atom of each set of equivalent atoms:
Zr 0.0000 0.2500 0.5000 x6
Ni 0.0000 0.5000 0.2500 x6


No. 12
Entry from Alexandria: Nd8Ga2Au after structural relaxation (PBE).

## Properties
Volume (Å³/cell): 661
Energy (eV/atom): -4.64
Total magnetization (μB/atom): 0.00
Density (kg/m3): 7489

a = 19.1480 Å, b = 5.1277 Å, c = 6.9081 Å
α = 90.00°, β = 102.98°, γ = 90.00°
Space group C2/m (No. 12)
One atom of each set of equivalent atoms:
Nd 0.0232 0.0000 0.2714 x4
Nd 0.0934 0.5000 0.9665 x4
Nd 0.1589 0.5000 0.4777 x4
Nd 0.2079 0.0000 0.8165 x4
Ga 0.1862 0.0000 0.2508 x4
Au 0.0000 0.5000 0.5000 x2